LaMg2VCd, relaxed, DFT PBE-GGA; formation energy = 487 meV/atom; Fermi-level density of states = 4.01 states/eV/f.u.; calculated volume = 27.678 Å³/atom
1.0
5.0984 0.0000 0.0000
0.0000 5.0984 0.0000
0.0000 0.0000 5.3240
La Mg V Cd
1 2 1 1
direct
0.0000 0.0000 0.0000 La
0.0000 0.5000 0.5000 Mg
0.5000 0.0000 0.5000 Mg
0.5000 0.5000 0.0000 V
0.5000 0.5000 0.5000 Cd